[1]
{
  "formula": "La3Nd4TmTe8",
  "functional": "GGA-PBE",
  "state": "optimized geometry",
  "total_magnetization_mub_per_fu": 0.000,
  "e_form_raw_ev_per_atom": -1.450,
  "energy_ev_per_atom": -5.416,
  "rho_g_cm3": 7.0,
  "dos_ef_per_ev_fu": 12.40,
  "lattice_angstrom": [[9.023, 0.000, 0.000], [0.000, 9.011, -0.023], [-4.512, -4.513, 6.388]],
  "species": ["Te", "La", "Te", "La", "Nd", "Te", "Te", "Tm", "Nd", "Te", "La", "Nd", "Nd", "Te", "Te", "Te"],
  "frac_coords": [[0.759, 0.747, 0.003], [0.500, 0.500, 0.500], [0.244, 0.747, 0.487], [0.000, 0.500, 0.500], [0.500, 0.000, 0.000], [0.241, 0.253, 0.997], [0.756, 0.253, 0.513], [0.000, 0.500, 0.000], [0.000, 0.000, 0.500], [0.244, 0.747, 0.003], [0.500, 0.500, 0.000], [0.000, 0.000, 0.000], [0.500, 0.000, 0.500], [0.756, 0.253, 0.997], [0.752, 0.755, 0.503], [0.248, 0.245, 0.497]]
}


[2]
{
  "formula": "Y2MnBr",
  "functional": "GGA-PBE",
  "state": "optimized geometry",
  "total_magnetization_mub_per_fu": 3.913,
  "e_form_raw_ev_per_atom": -0.155,
  "energy_ev_per_atom": -6.098,
  "rho_g_cm3": 4.5,
  "dos_ef_per_ev_fu": 2.50,
  "relative_energy_kcal_per_mol_atoms": 6.05,
  "lattice_angstrom": [[-3.280, 0.156, 1.147], [-1.069, -1.699, -2.841], [1.173, -8.227, 4.477]],
  "species": ["Br", "Y", "Y", "Mn"],
  "frac_coords": [[0.000, 0.000, 0.465], [0.000, 0.000, 0.980], [0.500, 0.500, 0.272], [0.500, 0.500, 0.783]]
}